No. 1
Computed, not measured: a relaxed structure of SrCoI2O at the PBE+U level of DFT.

a = 6.3871 Å, b = 6.3871 Å, c = 4.2867 Å
α = 90.00°, β = 90.00°, γ = 90.00°
Last column: nearest neighbours and their distance in Å.
Fractional positions:
I1 0.0000 0.5000 0.0000  2 Sr 3.19
I2 0.5000 0.0000 0.0000  2 Sr 3.19
Sr1 0.0000 0.0000 0.0000  2 O 2.14
Co1 0.5000 0.5000 0.5000  8 I 3.85, 2 Co 4.29
O1 0.0000 0.0000 0.5000  2 Sr 2.14

Values from the calculation:
As for the energy above the most stable polymorph in this dataset: 729 meV/atom. The calculated volume comes out at 175 Å³/cell. Its electronic total energy is -3.12 eV per atom. As for the space group: P4/mmm (123). For the density of states at the Fermi level, the calculation gives 5.02 states/eV/cell.



No. 2
Computed, not measured: a relaxed structure of SrCoIO6 at the PBE+U level of DFT.

a = 5.0780 Å, b = 5.0781 Å, c = 5.4889 Å
α = 90.00°, β = 90.00°, γ = 60.00°
Last column: nearest neighbours and their distance in Å.
Fractional positions:
Sr1 0.0000 0.0000 0.0000  6 O 2.54
Co1 0.6666 0.6667 0.5000  6 O 1.93
I1 0.3333 0.3333 0.5000  6 O 1.92
O1 0.0023 0.3759 0.3035  1 I 1.92, 1 Co 1.93
O2 0.3759 0.0023 0.6964  1 I 1.92, 1 Co 1.93
O3 0.6217 0.3759 0.6964  1 I 1.92, 1 Co 1.93
O4 0.0023 0.6218 0.6964  1 I 1.92, 1 Co 1.93
O5 0.3759 0.6218 0.3035  1 I 1.92, 1 Co 1.93
O6 0.6217 0.0023 0.3035  1 I 1.92, 1 Co 1.93

Values from the calculation:
The calculated volume comes out at 123 Å³/cell. Its electronic total energy is -5.45 eV per atom. As for the space group: P312 (149). For the density of states at the Fermi level, the calculation gives 0.00 states/eV/cell.



No. 3
Computed, not measured: a relaxed structure of SrCoI2O at the PBE+U level of DFT.

a = 5.8605 Å, b = 5.8605 Å, c = 3.7941 Å
α = 90.00°, β = 90.00°, γ = 90.00°
Last column: nearest neighbours and their distance in Å.
Fractional positions:
I1 0.0000 0.5000 0.0000  2 Co 2.93
I2 0.5000 0.0000 0.0000  2 Co 2.93
Sr1 0.5000 0.5000 0.5000  8 I 3.49, 2 Sr 3.79
Co1 0.0000 0.0000 0.0000  2 O 1.90
O1 0.0000 0.0000 0.5000  2 Co 1.90

Values from the calculation:
As for the energy above the most stable polymorph in this dataset: 0 meV/atom. The calculated volume comes out at 130 Å³/cell. Its electronic total energy is -3.85 eV per atom. As for the space group: P4/mmm (123). For the density of states at the Fermi level, the calculation gives 1.13 states/eV/cell.



No. 4
Computed, not measured: a relaxed structure of CoTcI2O at the PBE+U level of DFT.

a = 5.6757 Å, b = 5.6757 Å, c = 3.6009 Å
α = 90.00°, β = 90.00°, γ = 90.00°
Last column: nearest neighbours and their distance in Å.
Fractional positions:
I1 0.0000 0.5000 0.0000  2 Co 2.84
I2 0.5000 0.0000 0.0000  2 Co 2.84
Co1 0.0000 0.0000 0.0000  2 O 1.80
Tc1 0.5000 0.5000 0.5000  8 I 3.36, 2 Tc 3.60
O1 0.0000 0.0000 0.5000  2 Co 1.80

Values from the calculation:
As for the energy above the most stable polymorph in this dataset: 302 meV/atom. The calculated volume comes out at 116 Å³/cell. Its electronic total energy is -4.24 eV per atom. As for the space group: P4/mmm (123). For the density of states at the Fermi level, the calculation gives 2.67 states/eV/cell.



No. 5
Computed, not measured: a relaxed structure of CoTcI2O at the PBE+U level of DFT.

a = 5.5696 Å, b = 5.5696 Å, c = 3.7457 Å
α = 90.00°, β = 90.00°, γ = 90.00°
Last column: nearest neighbours and their distance in Å.
Fractional positions:
I1 0.0000 0.5000 0.0000  2 Tc 2.78
I2 0.5000 0.0000 0.0000  2 Tc 2.78
Co1 0.5000 0.5000 0.5000  8 I 3.36, 2 Co 3.75
Tc1 0.0000 0.0000 0.0000  2 O 1.87
O1 0.0000 0.0000 0.5000  2 Tc 1.87

Values from the calculation:
As for the energy above the most stable polymorph in this dataset: 0 meV/atom. The calculated volume comes out at 116 Å³/cell. Its electronic total energy is -4.54 eV per atom. As for the space group: P4/mmm (123). For the density of states at the Fermi level, the calculation gives 3.70 states/eV/cell.



No. 6
Computed, not measured: a relaxed structure of CoTe2IO at the PBE+U level of DFT.

a = 4.8897 Å, b = 4.8897 Å, c = 5.2930 Å
α = 90.00°, β = 90.00°, γ = 90.00°
Last column: nearest neighbours and their distance in Å.
Fractional positions:
I1 0.0000 0.0000 0.5000  2 Co 2.65
Te1 0.0000 0.5000 0.0000  2 Co 2.44
Te2 0.5000 0.0000 0.0000  2 Co 2.44
Co1 0.0000 0.0000 0.0000  4 Te 2.44, 2 I 2.65
O1 0.5000 0.5000 0.5000  4 I 3.46, 8 Te 3.60

Values from the calculation:
As for the energy above the most stable polymorph in this dataset: 553 meV/atom. The calculated volume comes out at 127 Å³/cell. Its electronic total energy is -2.64 eV per atom. As for the space group: P4/mmm (123). For the density of states at the Fermi level, the calculation gives 7.47 states/eV/cell.



No. 7
Computed, not measured: a relaxed structure of CoTe2IO at the PBE+U level of DFT.

a = 4.4060 Å, b = 4.4060 Å, c = 7.5786 Å
α = 90.00°, β = 90.00°, γ = 90.00°
Last column: nearest neighbours and their distance in Å.
Fractional positions:
I1 0.0000 0.0000 0.5000  4 Co 3.12
Te1 0.0000 0.5000 0.0000  2 O 2.20
Te2 0.5000 0.0000 0.0000  2 O 2.20
Co1 0.5000 0.5000 0.5000  4 I 3.12
O1 0.0000 0.0000 0.0000  4 Te 2.20

Values from the calculation:
As for the energy above the most stable polymorph in this dataset: 0 meV/atom. The calculated volume comes out at 147 Å³/cell. Its electronic total energy is -3.19 eV per atom. As for the space group: P4/mmm (123). For the density of states at the Fermi level, the calculation gives 6.72 states/eV/cell.



No. 8
Computed, not measured: a relaxed structure of TiCoI2O at the PBE+U level of DFT.

a = 5.6471 Å, b = 5.6471 Å, c = 3.7446 Å
α = 90.00°, β = 90.00°, γ = 90.00°
Last column: nearest neighbours and their distance in Å.
Fractional positions:
I1 0.0000 0.5000 0.0000  2 Ti 2.82
I2 0.5000 0.0000 0.0000  2 Ti 2.82
Co1 0.5000 0.5000 0.5000  8 I 3.39, 2 Co 3.74
O1 0.0000 0.0000 0.5000  2 Ti 1.87
Ti1 0.0000 0.0000 0.0000  2 O 1.87

Values from the calculation:
As for the energy above the most stable polymorph in this dataset: 0 meV/atom. The calculated volume comes out at 119 Å³/cell. Its electronic total energy is -4.70 eV per atom. As for the space group: P4/mmm (123). For the density of states at the Fermi level, the calculation gives 6.69 states/eV/cell.



No. 9
Computed, not measured: a relaxed structure of TiCoI2O at the PBE+U level of DFT.

a = 5.3861 Å, b = 5.3861 Å, c = 3.5112 Å
α = 90.00°, β = 90.00°, γ = 90.00°
Last column: nearest neighbours and their distance in Å.
Fractional positions:
I1 0.0000 0.5000 0.0000  2 Co 2.69
I2 0.5000 0.0000 0.0000  2 Co 2.69
Co1 0.0000 0.0000 0.0000  2 O 1.76
O1 0.0000 0.0000 0.5000  2 Co 1.76
Ti1 0.5000 0.5000 0.5000  8 I 3.21, 2 Ti 3.51

Values from the calculation:
As for the energy above the most stable polymorph in this dataset: 704 meV/atom. The calculated volume comes out at 102 Å³/cell. Its electronic total energy is -4.00 eV per atom. As for the space group: P4/mmm (123). For the density of states at the Fermi level, the calculation gives 8.91 states/eV/cell.



No. 10
Computed, not measured: a relaxed structure of TiCoIO2 at the PBE+U level of DFT.

a = 3.8157 Å, b = 3.8157 Å, c = 6.1016 Å
α = 90.00°, β = 90.00°, γ = 90.00°
Last column: nearest neighbours and their distance in Å.
Fractional positions:
I1 0.0000 0.0000 0.5000  4 Co 2.70
Co1 0.5000 0.5000 0.5000  4 I 2.70
O1 0.0000 0.5000 0.0000  2 Ti 1.91
O2 0.5000 0.0000 0.0000  2 Ti 1.91
Ti1 0.0000 0.0000 0.0000  4 O 1.91

Values from the calculation:
As for the energy above the most stable polymorph in this dataset: 0 meV/atom. The calculated volume comes out at 89 Å³/cell. Its electronic total energy is -5.93 eV per atom. As for the space group: P4/mmm (123). For the density of states at the Fermi level, the calculation gives 4.81 states/eV/cell.